# LiCoNi

LiCoNi after structural relaxation (GGA-PBEsol, Alexandria via LeMat-Bulk).

Results
N(E_F) ... 0.61 states/eV per atom
ΔE to the lowest computed polymorph ... 0.475 eV per atom
Energy relative to the elements ... 1.9 eV per formula unit
E ... -0.171 hartree per atom

Structure (CIF):
```
data_LiCoNi
_cell_length_a 5.341
_cell_length_b 5.341
_cell_length_c 5.341
_cell_angle_alpha 90.00
_cell_angle_beta 90.00
_cell_angle_gamma 90.00
_space_group_name_H-M_alt 'F -4 3 m'
_space_group_IT_number 216
_space_group_name_Hall 'F -4 2 3'
loop_
_atom_site_label
_atom_site_fract_x
_atom_site_fract_y
_atom_site_fract_z
Li1 0.000 0.000 0.000
Co1 0.250 0.250 0.250
Ni1 0.000 0.000 0.500
```

=====

# NbTe2S

NbTe2S after structural relaxation (GGA-PBEsol, Alexandria via LeMat-Bulk).

Results
N(E_F) ... 0.90 states/eV per atom
Formation energy without anion corrections ... 0.447 eV/atom
E ... -0.188 hartree per atom

Structure (CIF):
```
data_NbTe2S
_cell_length_a 6.826
_cell_length_b 6.826
_cell_length_c 10.143
_cell_angle_alpha 90.00
_cell_angle_beta 90.00
_cell_angle_gamma 90.00
_space_group_name_H-M_alt 'I -4 2 d'
_space_group_IT_number 122
_space_group_name_Hall 'I -4 2bw'
loop_
_atom_site_label
_atom_site_fract_x
_atom_site_fract_y
_atom_site_fract_z
Nb1 0.000 0.000 0.000
Te1 0.230 0.750 0.125
S1 0.000 0.000 0.500
```

=====

# Mn2BeInH

Mn2BeInH after structural relaxation (GGA-PBEsol, Alexandria via LeMat-Bulk).

Results
N(E_F) ... 0.64 states/eV per atom
E ... -0.192 hartree per atom

Structure (CIF):
```
data_Mn2BeInH
_cell_length_a 4.584
_cell_length_b 4.584
_cell_length_c 3.016
_cell_angle_alpha 90.00
_cell_angle_beta 90.00
_cell_angle_gamma 90.00
_space_group_name_H-M_alt 'P 4/m m m'
_space_group_IT_number 123
_space_group_name_Hall '-P 4 2'
loop_
_atom_site_label
_atom_site_fract_x
_atom_site_fract_y
_atom_site_fract_z
Mn1 0.000 0.500 0.000
Be1 0.000 0.000 0.000
In1 0.500 0.500 0.500
H1 0.000 0.000 0.500
```